Entry 1:
A plane-wave DFT calculation with PBE was carried out for a geometry-optimized Tm2CuTe structure.

Summary:
* formation energy without anion corrections: -0.553 eV/atom

abc: 3.716 3.716 6.770
angles: 90.00 90.00 90.00
Positions (direct):
Tm 0.000 0.000 0.766
Tm 0.000 0.000 0.234
Te 0.500 0.500 0.500
Cu 0.500 0.500 0.000

***

Entry 2:
A plane-wave DFT calculation with PBE was carried out for a geometry-optimized Tm5Cu2Te structure.

Summary:
* formation energy without anion corrections: -0.468 eV/atom

abc: 7.849 7.849 8.386
angles: 117.90 117.90 90.00
Positions (direct):
Te 0.750 0.750 0.500
Te 0.250 0.250 0.500
Cu 0.866 0.634 0.000
Cu 0.366 0.866 0.000
Cu 0.634 0.134 0.000
Cu 0.134 0.366 0.000
Tm 0.208 0.013 0.721
Tm 0.292 0.792 0.279
Tm 0.513 0.708 0.721
Tm 0.500 0.500 0.000
Tm 0.487 0.292 0.279
Tm 0.792 0.987 0.279
Tm 0.987 0.487 0.279
Tm 0.013 0.513 0.721
Tm 0.708 0.208 0.721
Tm 0.000 0.000 0.000

***

Entry 3:
A plane-wave DFT calculation with PBE was carried out for a geometry-optimized TmCuTe2 structure.

Summary:
* formation energy without anion corrections: -0.787 eV/atom

abc: 4.214 4.214 6.668
angles: 90.00 90.00 120.00
Positions (direct):
Cu 0.000 0.000 0.500
Tm 0.000 0.000 0.000
Te 0.667 0.333 0.725
Te 0.333 0.667 0.275

***

Entry 4:
A plane-wave DFT calculation with PBE was carried out for a geometry-optimized Tm6CuTe3 structure.

Summary:
* formation energy without anion corrections: -0.698 eV/atom

abc: 3.943 11.791 12.514
angles: 105.70 90.00 90.00
Positions (direct):
Tm 0.750 0.098 0.441
Tm 0.750 0.424 0.115
Tm 0.250 0.902 0.559
Tm 0.250 0.045 0.855
Tm 0.750 0.482 0.650
Tm 0.750 0.784 0.766
Tm 0.250 0.228 0.681
Tm 0.250 0.216 0.234
Tm 0.750 0.955 0.145
Tm 0.750 0.772 0.319
Tm 0.250 0.518 0.350
Tm 0.250 0.576 0.885
Cu 0.250 0.952 0.315
Cu 0.750 0.048 0.685
Te 0.750 0.672 0.520
Te 0.750 0.373 0.856
Te 0.250 0.328 0.480
Te 0.250 0.842 0.960
Te 0.750 0.158 0.040
Te 0.250 0.627 0.144

***

Entry 5:
A plane-wave DFT calculation with PBE was carried out for a geometry-optimized Tm3CuTe2 structure.

Summary:
* formation energy without anion corrections: -0.735 eV/atom

abc: 4.143 5.971 7.753
angles: 112.65 90.00 90.00
Positions (direct):
Te 0.500 0.340 0.679
Te 0.500 0.660 0.321
Cu 0.000 0.000 0.000
Tm 0.500 0.123 0.247
Tm 0.000 0.500 0.000
Tm 0.500 0.877 0.753

***

Entry 6:
A plane-wave DFT calculation with PBE was carried out for a geometry-optimized TmCuTe3 structure.

Summary:
* formation energy without anion corrections: -0.570 eV/atom

abc: 5.950 10.726 9.345
angles: 98.64 90.00 90.00
Positions (direct):
Tm 0.767 0.626 0.170
Tm 0.233 0.374 0.830
Tm 0.733 0.626 0.670
Tm 0.267 0.374 0.330
Te 0.472 0.909 0.814
Te 0.264 0.567 0.118
Te 0.107 0.203 0.058
Te 0.893 0.797 0.942
Te 0.764 0.433 0.382
Te 0.393 0.203 0.558
Te 0.236 0.567 0.618
Te 0.028 0.909 0.314
Te 0.528 0.091 0.186
Te 0.736 0.433 0.882
Te 0.972 0.091 0.686
Te 0.607 0.797 0.442
Cu 0.296 0.958 0.546
Cu 0.704 0.042 0.454
Cu 0.796 0.042 0.954
Cu 0.204 0.958 0.046

***

Entry 7:
A plane-wave DFT calculation with PBE was carried out for a geometry-optimized TmCuTe2 structure.

Summary:
* formation energy without anion corrections: -0.854 eV/atom

abc: 4.393 4.393 8.654
angles: 59.69 75.15 59.97
Positions (direct):
Te 0.179 0.390 0.598
Te 0.507 0.235 0.091
Cu 0.175 0.007 0.985
Tm 0.844 0.853 0.804

***

Entry 8:
A plane-wave DFT calculation with PBE was carried out for a geometry-optimized Tm2CuTe4 structure.

Summary:
* formation energy without anion corrections: -0.885 eV/atom

abc: 7.487 6.208 8.550
angles: 90.00 106.37 90.00
Positions (direct):
Te 0.932 0.250 0.128
Te 0.490 0.996 0.753
Te 0.510 0.496 0.247
Te 0.510 0.004 0.247
Te 0.068 0.750 0.872
Te 0.490 0.504 0.753
Te 0.077 0.750 0.412
Te 0.923 0.250 0.588
Tm 0.749 0.750 0.561
Tm 0.216 0.250 0.927
Tm 0.784 0.750 0.073
Tm 0.251 0.250 0.439
Cu 0.783 0.250 0.824
Cu 0.217 0.750 0.176

***

Entry 9:
A plane-wave DFT calculation with PBE was carried out for a geometry-optimized Tm5CuTe4 structure.

Summary:
* formation energy without anion corrections: -1.015 eV/atom

abc: 6.023 7.394 7.394
angles: 80.45 65.96 65.96
Positions (direct):
Te 0.191 0.224 0.396
Te 0.811 0.776 0.604
Te 0.415 0.396 0.776
Te 0.587 0.604 0.224
Tm 0.501 0.000 0.000
Tm 0.096 0.640 0.169
Tm 0.266 0.831 0.640
Tm 0.906 0.360 0.831
Tm 0.737 0.169 0.360
Cu 0.001 0.000 0.000

***

Entry 10:
A plane-wave DFT calculation with PBE was carried out for a geometry-optimized Tm6Cu2Te structure.

Summary:
* formation energy without anion corrections: -0.328 eV/atom

abc: 8.455 8.455 8.455
angles: 100.97 115.88 111.91
Positions (direct):
Cu 0.643 0.643 0.000
Cu 0.357 0.357 0.000
Cu 0.500 0.883 0.383
Cu 0.500 0.117 0.617
Te 0.000 0.500 0.500
Te 0.000 0.000 0.000
Tm 0.518 0.811 0.707
Tm 0.482 0.189 0.293
Tm 0.105 0.811 0.293
Tm 0.689 0.320 0.009
Tm 0.311 0.320 0.631
Tm 0.895 0.189 0.707
Tm 0.200 0.973 0.773
Tm 0.311 0.680 0.991
Tm 0.800 0.574 0.773
Tm 0.689 0.680 0.369
Tm 0.800 0.027 0.227
Tm 0.200 0.426 0.227

***

Entry 11:
A plane-wave DFT calculation with PBE was carried out for a geometry-optimized TmCuTe2 structure.

Summary:
* formation energy without anion corrections: -0.662 eV/atom

abc: 4.127 4.127 7.385
angles: 73.77 73.77 60.00
Positions (direct):
Cu 0.664 0.664 0.009
Tm 0.502 0.502 0.495
Te 0.260 0.260 0.221
Te 0.075 0.075 0.775

***

Entry 12:
A plane-wave DFT calculation with PBE was carried out for a geometry-optimized TmCuTe2 structure.

Summary:
* formation energy without anion corrections: -0.722 eV/atom

abc: 4.472 4.472 8.560
angles: 74.86 74.86 60.00
Positions (direct):
Te 0.900 0.900 0.299
Te 0.100 0.100 0.701
Cu 0.000 0.000 0.000
Tm 0.500 0.500 0.500